[1]
A plane-wave DFT calculation with PBE was carried out for a geometry-optimized Si7Tc4 structure.

Its crystal system is tetragonal. The total energy is -7.792 eV/atom.

The structure belongs to space group P-4c2 (No. 116); the cell edges are 5.767, 5.767 and 18.178 Å and the angles 90.00°, 90.00° and 90.00°. The asymmetric unit holds Si at (0.150, 0.193, 0.115), Si at (0.153, 0.329, 0.817), Si at (0.228, 0.349, 0.540), Si at (0.341, 0.341, 0.250), Tc at (0.000, 0.000, 0.000), Tc at (0.000, 0.000, 0.250), Tc at (0.000, 0.500, 0.193), Tc at (0.000, 0.500, 0.435) and Tc at (0.500, 0.500, 0.130).

=====

[2]
A plane-wave DFT calculation with PBE was carried out for a geometry-optimized Si5Tc3 structure.

Its crystal system is tetragonal. The total energy is -7.778 eV/atom.

The structure belongs to space group P4/mmm (No. 123); the cell edges are 3.128, 3.128 and 10.744 Å and the angles 90.00°, 90.00° and 90.00°. The asymmetric unit holds Si at (0.000, 0.000, 0.000), Si at (0.000, 0.000, 0.250), Si at (0.500, 0.500, 0.377), Tc at (0.000, 0.000, 0.500) and Tc at (0.500, 0.500, 0.142).

=====

[3]
A plane-wave DFT calculation with PBE was carried out for a geometry-optimized Si2Tc2Te structure.

Its crystal system is tetragonal. The total energy is -7.107 eV/atom.

The structure belongs to space group I4/mmm (No. 139); the cell edges are 3.513, 3.513 and 13.169 Å and the angles 90.00°, 90.00° and 90.00°. The asymmetric unit holds Si at (0.000, 0.500, 0.250), Tc at (0.000, 0.000, 0.118) and Te at (0.000, 0.000, 0.500).

=====

[4]
A plane-wave DFT calculation with PBE was carried out for a geometry-optimized SiTcTe2 structure.

Its crystal system is cubic. The total energy is -4.708 eV/atom.

The structure belongs to space group F-43m (No. 216); the cell edges are 6.831, 6.831 and 6.831 Å and the angles 90.00°, 90.00° and 90.00°. The asymmetric unit holds Si at (0.000, 0.000, 0.000), Tc at (0.250, 0.250, 0.750), Te at (0.000, 0.000, 0.500) and Te at (0.250, 0.250, 0.250).

=====

[5]
A plane-wave DFT calculation with PBE was carried out for a geometry-optimized TlSi2Tc2 structure.

Its crystal system is tetragonal. The total energy is -6.892 eV/atom.

The structure belongs to space group I4/mmm (No. 139); the cell edges are 3.500, 3.500 and 13.105 Å and the angles 90.00°, 90.00° and 90.00°. The asymmetric unit holds Tl at (0.000, 0.000, 0.000), Si at (0.000, 0.500, 0.250) and Tc at (0.000, 0.000, 0.383).

=====

[6]
A plane-wave DFT calculation with PBE was carried out for a geometry-optimized TmSiTc structure.

Its crystal system is cubic. The calculation puts the energy above the most stable polymorph in this dataset at 0.0 kJ per mole of atoms.

The structure belongs to space group F-43m (No. 216); the cell edges are 6.167, 6.167 and 6.167 Å and the angles 90.00°, 90.00° and 90.00°. The asymmetric unit holds Tm at (0.000, 0.000, 0.000), Si at (0.250, 0.250, 0.750) and Tc at (0.000, 0.000, 0.500).

=====

[7]
A plane-wave DFT calculation with PBE was carried out for a geometry-optimized TmSi2Tc4 structure.

Its crystal system is orthorhombic. The total energy is -8.620 eV/atom.

The structure belongs to space group Cmmm (No. 65); the cell edges are 4.070, 13.839 and 4.041 Å and the angles 90.00°, 90.00° and 90.00°. The asymmetric unit holds Tm at (0.000, 0.000, 0.000), Si at (0.000, 0.413, 0.500), Tc at (0.000, 0.186, 0.500) and Tc at (0.000, 0.307, 0.000).

=====

[8]
A plane-wave DFT calculation with PBE was carried out for a geometry-optimized TmSiTc structure.

Its crystal system is cubic. The calculation puts the energy above the most stable polymorph in this dataset at 100.2 kJ per mole of atoms.

The structure belongs to space group F-43m (No. 216); the cell edges are 6.398, 6.398 and 6.398 Å and the angles 90.00°, 90.00° and 90.00°. The asymmetric unit holds Tm at (0.000, 0.000, 0.000), Si at (0.250, 0.250, 0.750) and Tc at (0.250, 0.250, 0.250).

=====

[9]
A plane-wave DFT calculation with PBE was carried out for a geometry-optimized TmSi2Tc2 structure.

Its crystal system is tetragonal. The calculation puts the energy above the most stable polymorph in this dataset at 24.3 kJ per mole of atoms.

The structure belongs to space group I4/mmm (No. 139); the cell edges are 4.254, 4.254 and 9.642 Å and the angles 90.00°, 90.00° and 90.00°. The asymmetric unit holds Tm at (0.000, 0.000, 0.000), Si at (0.000, 0.500, 0.250) and Tc at (0.000, 0.000, 0.379).

=====

[10]
A plane-wave DFT calculation with PBE was carried out for a geometry-optimized TmSi2Tc2 structure.

Its crystal system is tetragonal. The calculation puts the energy above the most stable polymorph in this dataset at 0.0 kJ per mole of atoms.

The structure belongs to space group I4/mmm (No. 139); the cell edges are 4.078, 4.078 and 10.165 Å and the angles 90.00°, 90.00° and 90.00°. The asymmetric unit holds Tm at (0.000, 0.000, 0.000), Si at (0.000, 0.000, 0.381) and Tc at (0.000, 0.500, 0.250).

=====

[11]
A plane-wave DFT calculation with PBE was carried out for a geometry-optimized Si4TcW structure.

Its crystal system is tetragonal. The total energy is -7.877 eV/atom.

The structure belongs to space group P4/mmm (No. 123); the cell edges are 3.206, 3.206 and 7.839 Å and the angles 90.00°, 90.00° and 90.00°. The asymmetric unit holds Si at (0.000, 0.000, 0.166), Si at (0.500, 0.500, 0.332), Tc at (0.500, 0.500, 0.000) and W at (0.000, 0.000, 0.500).

=====

[12]
A plane-wave DFT calculation with PBE was carried out for a geometry-optimized Y2SiTc structure.

Its crystal system is cubic. The total energy is -7.232 eV/atom.

The structure belongs to space group F-43m (No. 216); the cell edges are 6.776, 6.776 and 6.776 Å and the angles 90.00°, 90.00° and 90.00°. The asymmetric unit holds Y at (0.000, 0.000, 0.000), Y at (0.250, 0.250, 0.250), Si at (0.000, 0.000, 0.500) and Tc at (0.250, 0.250, 0.750).

=====

[13]
A plane-wave DFT calculation with PBE was carried out for a geometry-optimized YSi2Tc2 structure.

Its crystal system is tetragonal. The calculation puts the energy above the most stable polymorph in this dataset at 0.0 kJ per mole of atoms.

The structure belongs to space group I4/mmm (No. 139); the cell edges are 4.100, 4.100 and 10.244 Å and the angles 90.00°, 90.00° and 90.00°. The asymmetric unit holds Y at (0.000, 0.000, 0.000), Si at (0.000, 0.000, 0.379) and Tc at (0.000, 0.500, 0.250).

=====

[14]
A plane-wave DFT calculation with PBE was carried out for a geometry-optimized Y2Si2Tc structure.

Its crystal system is monoclinic. The total energy is -7.587 eV/atom.

The structure belongs to space group C2/m (No. 12); the cell edges are 10.856, 4.186 and 10.117 Å and the angles 90.00°, 118.62° and 90.00°. The asymmetric unit holds Y at (0.006, 0.000, 0.178), Y at (0.187, 0.000, 0.609), Si at (0.001, 0.500, 0.378), Si at (0.144, 0.500, 0.061) and Tc at (0.227, 0.500, 0.871).

=====

[15]
A plane-wave DFT calculation with PBE was carried out for a geometry-optimized YSi2Tc structure.

Its crystal system is cubic. The total energy is -6.781 eV/atom.

The structure belongs to space group F-43m (No. 216); the cell edges are 6.461, 6.461 and 6.461 Å and the angles 90.00°, 90.00° and 90.00°. The asymmetric unit holds Y at (0.000, 0.000, 0.000), Si at (0.000, 0.000, 0.500), Si at (0.250, 0.250, 0.750) and Tc at (0.250, 0.250, 0.250).

=====

[16]
A plane-wave DFT calculation with PBE was carried out for a geometry-optimized YSi2Tc2 structure.

Its crystal system is tetragonal. The calculation puts the energy above the most stable polymorph in this dataset at 23.3 kJ per mole of atoms.

The structure belongs to space group I4/mmm (No. 139); the cell edges are 4.290, 4.290 and 9.601 Å and the angles 90.00°, 90.00° and 90.00°. The asymmetric unit holds Y at (0.000, 0.000, 0.000), Si at (0.000, 0.500, 0.250) and Tc at (0.000, 0.000, 0.379).

=====

[17]
A plane-wave DFT calculation with PBE was carried out for a geometry-optimized ZnSi2Tc2 structure.

Its crystal system is tetragonal. The total energy is -6.859 eV/atom.

The structure belongs to space group P4/mbm (No. 127); the cell edges are 6.777, 6.777 and 3.107 Å and the angles 90.00°, 90.00° and 90.00°. The asymmetric unit holds Zn at (0.000, 0.000, 0.000), Si at (0.143, 0.357, 0.500) and Tc at (0.151, 0.651, 0.000).

=====

[18]
A plane-wave DFT calculation with PBE was carried out for a geometry-optimized ZrSiTc2 structure.

Its crystal system is cubic. The total energy is -8.751 eV/atom.

The structure belongs to space group F-43m (No. 216); the cell edges are 6.320, 6.320 and 6.320 Å and the angles 90.00°, 90.00° and 90.00°. The asymmetric unit holds Zr at (0.000, 0.000, 0.000), Si at (0.250, 0.250, 0.750), Tc at (0.000, 0.000, 0.500) and Tc at (0.250, 0.250, 0.250).

=====

[19]
A plane-wave DFT calculation with PBE was carried out for a geometry-optimized Zr2SiTc structure.

Its crystal system is cubic. The total energy is -8.473 eV/atom.

The structure belongs to space group F-43m (No. 216); the cell edges are 6.512, 6.512 and 6.512 Å and the angles 90.00°, 90.00° and 90.00°. The asymmetric unit holds Zr at (0.000, 0.000, 0.000), Zr at (0.250, 0.250, 0.250), Si at (0.000, 0.000, 0.500) and Tc at (0.250, 0.250, 0.750).

=====

[20]
A plane-wave DFT calculation with PBE was carried out for a geometry-optimized Zr2Si2Tc structure.

Its crystal system is tetragonal. The total energy is -8.498 eV/atom.

The structure belongs to space group P4/mbm (No. 127); the cell edges are 6.568, 6.568 and 3.930 Å and the angles 90.00°, 90.00° and 90.00°. The asymmetric unit holds Zr at (0.173, 0.327, 0.000), Si at (0.131, 0.631, 0.500) and Tc at (0.000, 0.000, 0.500).